Run w
5
Lattice="5.4411 0.0000 0.0000 0.0000 5.4411 0.0000 0.0000 0.0000 5.4594" Properties=species:S:1:pos:R:3 comment="BeSbTe2Se PBE relaxed" spacegroup="P4/mmm (123)" magnetic_moment_mub_per_fu=0.43 pbc="T T T"
Te 2.7206 0.0000 0.0000
Sb 0.0000 0.0000 2.7297
Te 0.0000 2.7206 0.0000
Be 2.7206 2.7206 2.7297
Se 0.0000 0.0000 0.0000



Run x
5
Lattice="-0.2499 4.7114 -1.3001 -2.1181 1.0688 4.2804 4.5830 0.8129 2.0648" Properties=species:S:1:pos:R:3 comment="BeSbTe2Se PBE relaxed" spacegroup="P4/mmm (123)" magnetic_moment_mub_per_fu=0.00 pbc="T T T"
Te -1.0590 0.5344 2.1402
Sb 2.2915 0.4064 1.0324
Te -0.1249 2.3557 -0.6500
Be 0.0000 0.0000 0.0000
Se 1.1075 3.2965 2.5226



Most favorable first, least favorable last: run x, run w



Run w
4
Lattice="-4.1339 2.5202 3.0543 -2.0066 -1.7447 5.0694 4.8430 1.0641 -2.8605" Properties=species:S:1:pos:R:3 comment="BeSi2Sb PBE relaxed" spacegroup="I4/mmm (139)" magnetic_moment_mub_per_fu=0.00 pbc="T T T"
Sb -1.1806 1.9860 2.1279
Si -3.0703 0.3877 4.0619
Si 0.0000 0.0000 0.0000
Be -0.1169 -0.1464 3.1354



Run x
4
Lattice="-2.8196 0.4782 -2.2653 1.4048 -2.4821 -2.2725 -2.5822 -3.6906 2.4349" Properties=species:S:1:pos:R:3 comment="BeSi2Sb PBE relaxed" spacegroup="P4/mmm (123)" magnetic_moment_mub_per_fu=0.00 pbc="T T T"
Sb -0.5887 -3.0864 0.0812
Be -2.7009 -1.6062 0.0848
Si -0.7074 -1.0020 -2.2689
Si 0.0000 0.0000 0.0000



Most favorable first, least favorable last: run x, run w



Run w
4
Lattice="4.5702 0.0000 0.0000 2.2851 3.9579 0.0000 2.2851 1.3193 3.7316" Properties=species:S:1:pos:R:3 comment="BeSi2Sb PBE relaxed" spacegroup="F-43m (216)" magnetic_moment_mub_per_fu=0.00 pbc="T T T"
Si 0.0000 0.0000 0.0000
Be 4.5702 2.6386 1.8658
Sb 2.2851 1.3193 0.9329
Si 6.8553 3.9579 2.7987



Run x
4
Lattice="-0.5939 1.8356 -4.1992 1.9628 -2.9193 -1.5537 -2.9243 -2.4136 -0.6414" Properties=species:S:1:pos:R:3 comment="BeSi2Sb PBE relaxed" spacegroup="Cmmm (65)" magnetic_moment_mub_per_fu=0.00 pbc="T T T"
Si -0.4370 -2.4241 -0.9978
Sb -1.0181 -3.0818 -3.7459
Be -0.5373 -0.4154 -2.6484
Si -0.0437 -0.2423 -0.0997



Most favorable first, least favorable last: run x, run w



Run w
4
Lattice="2.8921 0.0000 0.0000 0.0000 2.8921 0.0000 0.0000 0.0000 8.1642" Properties=species:S:1:pos:R:3 comment="BeSi2Sb PBE relaxed" spacegroup="P4/mmm (123)" magnetic_moment_mub_per_fu=0.00 pbc="T T T"
Sb 1.4460 1.4460 6.1231
Si 0.0000 0.0000 0.6233
Be 1.4460 1.4460 2.0410
Si 0.0000 0.0000 3.4588



Run x
4
Lattice="-3.0372 -1.2337 0.1369 0.8955 -1.9272 2.4998 -1.6202 4.4324 3.9975" Properties=species:S:1:pos:R:3 comment="BeSi2Sb PBE relaxed" spacegroup="P4/mmm (123)" magnetic_moment_mub_per_fu=0.00 pbc="T T T"
Be -1.4759 -0.4723 2.3177
Si -0.7105 1.9437 1.7530
Si -0.0996 0.2725 0.2457
Sb -2.2860 1.7439 4.3165



Most favorable first, least favorable last: run w, run x



Run w
4
Lattice="-3.2024 0.7780 0.7757 0.0068 -2.0909 2.1254 2.1978 4.5692 4.4910" Properties=species:S:1:pos:R:3 comment="BeSi2Sb PBE relaxed" spacegroup="Pmm2 (25)" magnetic_moment_mub_per_fu=0.00 pbc="T T T"
Si -1.0080 1.0947 2.1292
Si 0.1784 -1.2081 1.9485
Sb 0.0037 2.1487 5.2488
Be 0.9372 0.3693 3.4990



Run x
4
Lattice="4.8707 -0.0250 -0.0072 0.5818 4.8359 0.0072 -1.9392 -3.2975 3.0151" Properties=species:S:1:pos:R:3 comment="BeSi2Sb PBE relaxed" spacegroup="Imm2 (44)" magnetic_moment_mub_per_fu=0.00 pbc="T T T"
Si 5.2311 4.6156 0.0000
Si 2.6965 -0.5753 1.5039
Be 2.9212 2.5775 0.0000
Sb 0.8433 2.1122 1.5111



Run y
4
Lattice="-1.3687 -0.9020 3.3253 -3.6655 -4.1330 -1.2092 4.1350 -0.7510 -1.5399" Properties=species:S:1:pos:R:3 comment="BeSi2Sb PBE relaxed" spacegroup="P1 (1)" magnetic_moment_mub_per_fu=0.00 pbc="T T T"
Sb 0.1652 -2.1951 1.5415
Be -2.6829 -2.8879 0.8262
Si -0.8254 -5.5073 0.6464
Si -0.9723 -3.4992 -0.8035



Run z
4
Lattice="-2.8875 -1.6415 0.2983 0.0210 -0.2570 -3.3249 3.2426 -5.6213 0.4550" Properties=species:S:1:pos:R:3 comment="BeSi2Sb PBE relaxed" spacegroup="Cmm2 (35)" magnetic_moment_mub_per_fu=0.00 pbc="T T T"
Si -0.5953 -2.4020 -1.3957
Sb 0.7624 -4.7556 -1.2052
Be 1.4772 -2.5608 0.2073
Si 0.3531 -0.6121 0.0495



Most favorable first, least favorable last: run y, run w, run z, run x



Run w
4
Lattice="-2.9334 1.1281 -2.4265 -1.2510 -1.8536 -3.2810 -4.6272 -3.0619 1.5738" Properties=species:S:1:pos:R:3 comment="BeSi2Sb PBE relaxed" spacegroup="C2/m (12)" magnetic_moment_mub_per_fu=0.00 pbc="T T T"
Be -6.6087 -2.8405 -3.1003
Si -4.2745 -2.7883 1.3135
Si -4.7585 -2.1672 -1.8066
Sb -2.2029 -0.9468 -1.0334



Run x
4
Lattice="6.3576 -0.6987 -0.4121 5.7178 2.8660 -0.4121 5.7178 1.0262 2.7075" Properties=species:S:1:pos:R:3 comment="BeSi2Sb PBE relaxed" spacegroup="R-3m (166)" magnetic_moment_mub_per_fu=0.00 pbc="T T T"
Sb 13.3449 2.3952 1.4125
Be 4.4483 0.7984 0.4708
Si 9.3939 1.6860 0.9943
Si 17.2959 3.1043 1.8308



Run y
4
Lattice="-0.5187 -3.5055 -1.9808 -0.5613 -3.4541 2.0580 -5.6361 -0.8234 -0.0490" Properties=species:S:1:pos:R:3 comment="BeSi2Sb PBE relaxed" spacegroup="Cm (8)" magnetic_moment_mub_per_fu=0.00 pbc="T T T"
Si -5.1881 -4.8848 0.0074
Si -6.3467 -7.0446 0.0226
Sb -2.4471 -2.6078 0.0073
Be -2.8085 -4.9215 0.0330



Most favorable first, least favorable last: run y, run w, run x